The following is a DFT calculation (GGA-PBEsol) of a relaxed MgAl2Ru crystal. Values from VASP.

Quantum ESPRESSO input file:
```
&SYSTEM
  ibrav = 0, nat = 4, ntyp = 3
/
ATOMIC_SPECIES
Mg 24.30 Mg.upf
Al 26.98 Al.upf
Ru 101.07 Ru.upf
ATOMIC_POSITIONS angstrom
Mg 0.0000 0.0000 0.0000
Al 1.9687 0.0000 1.9152
Al 0.0000 1.9687 1.9152
Ru 0.0000 0.0000 3.8305
CELL_PARAMETERS angstrom
-1.9687 1.9687 3.8305
1.9687 -1.9687 3.8305
1.9687 1.9687 -3.8305
```

Values from the calculation:
- Formation energy from the elements: -301 meV/atom
- Crystal system: tetragonal